[1]
This record from Alexandria via LeMat-Bulk describes crystalline Sr2MgBr at its relaxed geometry. The functional is PBE-GGA. Values from VASP.

Cell and atoms, written as Quantum ESPRESSO input:
```
&SYSTEM
  ibrav = 0, nat = 4, ntyp = 3
/
ATOMIC_SPECIES
Sr 87.62 Sr.upf
Mg 24.30 Mg.upf
Br 79.90 Br.upf
CELL_PARAMETERS angstrom
-1.989 2.121 9.207
1.989 -2.121 9.207
1.989 2.121 -9.207
ATOMIC_POSITIONS crystal
Sr 0.000 0.000 0.000
Sr 0.748 0.248 0.500
Mg 0.395 0.395 0.000
Br 0.152 0.652 0.500
```

Calculated values
The density of states at the Fermi level is 3.22 states/eV per cell. The space group is Imm2 (44). The final energy comes out at -2.2640 eV per atom.

[2]
This record from Alexandria via LeMat-Bulk describes crystalline CuSi2Hg at its relaxed geometry. The functional is PBE-GGA. Values from VASP.

Cell and atoms, written as Quantum ESPRESSO input:
```
&SYSTEM
  ibrav = 0, nat = 4, ntyp = 3
/
ATOMIC_SPECIES
Cu 63.55 Cu.upf
Si 28.09 Si.upf
Hg 200.59 Hg.upf
CELL_PARAMETERS angstrom
4.464 0.000 0.000
0.000 2.960 0.000
-2.218 0.000 5.078
ATOMIC_POSITIONS crystal
Cu 0.000 0.000 0.000
Si 0.000 0.000 0.500
Si 0.500 0.500 0.500
Hg 0.500 0.500 0.000
```

Calculated values
The density of states at the Fermi level is 1.19 states/eV per cell. The space group is P2/m (10). The final energy comes out at -3.3405 eV per atom.

[3]
This record from Alexandria via LeMat-Bulk describes crystalline HoMnCd at its relaxed geometry. The functional is PBE-GGA. Values from VASP.

Cell and atoms, written as Quantum ESPRESSO input:
```
&SYSTEM
  ibrav = 0, nat = 6, ntyp = 3
/
ATOMIC_SPECIES
Ho 164.93 Ho.upf
Mn 54.94 Mn.upf
Cd 112.41 Cd.upf
CELL_PARAMETERS angstrom
6.953 -1.753 0.000
6.953 1.753 0.000
-1.198 0.000 5.145
ATOMIC_POSITIONS crystal
Ho 0.134 0.134 0.323
Ho 0.866 0.866 0.677
Mn 0.235 0.235 0.886
Mn 0.765 0.765 0.114
Cd 0.430 0.430 0.210
Cd 0.570 0.570 0.790
```

Calculated values
The energy of formation from the pure elements comes out at -0.26 kJ/mol of atoms. The density of states at the Fermi level is 6.68 states/eV per cell. The space group is C2/m (12). The final energy comes out at -4.8902 eV per atom.